1.
First-principles (PBE-GGA) data for an optimized crystal structure of LaSc2Rh, as listed in Alexandria.

Cell lengths 3.2498, 4.7362, 5.7120 Å; angles 90.00, 90.00, 90.00 degrees
Atoms (fractional coordinates):
Sc 0.0000 0.0000 0.5217
Sc 0.0000 0.0000 0.9783
Rh 0.5000 0.5000 0.7500
La 0.5000 0.5000 0.2500

Values from the calculation:
Total magnetic moment (μB per atom): 0.000
E_form (meV per atom): -157
Volume (Å³/cell): 87.92
Space-group type: Pmmm

2.
First-principles (PBE-GGA) data for an optimized crystal structure of Ca3PaRh3, as listed in Alexandria.

Cell lengths 6.9036, 7.1600, 7.1600 Å; angles 79.84, 84.93, 84.93 degrees
Atoms (fractional coordinates):
Pa 0.0688 0.2020 0.2020
Pa 0.9312 0.7980 0.7980
Ca 0.0000 0.2990 0.7010
Ca 0.4722 0.7003 0.7003
Ca 0.5000 0.8022 0.1978
Ca 0.0000 0.7010 0.2990
Ca 0.5000 0.1978 0.8022
Ca 0.5278 0.2997 0.2997
Rh 0.7835 0.9882 0.5126
Rh 0.1941 0.9342 0.9342
Rh 0.7835 0.5126 0.9882
Rh 0.8059 0.0658 0.0658
Rh 0.2165 0.4874 0.0118
Rh 0.2165 0.0118 0.4874

Values from the calculation:
Total magnetic moment (μB per atom): 0.000
E_form (meV per atom): -505
Volume (Å³/cell): 346.05
Space-group type: C2/m

3.
First-principles (PBE-GGA) data for an optimized crystal structure of MnCdTe2, as listed in Alexandria.

Cell lengths 6.0584, 6.0584, 6.0584 Å; angles 141.19, 95.97, 96.71 degrees
Atoms (fractional coordinates):
Mn 0.2500 0.7500 0.5000
Te 0.4766 0.4766 0.0000
Te 0.0234 0.0234 0.0000
Cd 0.7500 0.2500 0.5000

Values from the calculation:
Total magnetic moment (μB per atom): 1.135
E_form (uncorrected) (meV per atom): 90
Volume (Å³/cell): 131.45
Space-group type: Immm

4.
First-principles (PBE-GGA) data for an optimized crystal structure of Ac2AlPt6, as listed in Alexandria.

Cell lengths 6.1002, 5.8610, 5.8610 Å; angles 60.00, 89.99, 89.99 degrees
Atoms (fractional coordinates):
Pt 0.6906 0.6590 0.1706
Pt 0.6906 0.1706 0.1706
Pt 0.3094 0.8294 0.3410
Pt 0.3094 0.3410 0.8294
Pt 0.6906 0.1706 0.6590
Pt 0.3094 0.8294 0.8294
Al 0.0000 0.0000 0.0000
Ac 0.1702 0.3333 0.3333
Ac 0.8298 0.6667 0.6667

Values from the calculation:
Total magnetic moment (μB per atom): 0.000
E_form (meV per atom): -978
Volume (Å³/cell): 181.47
Space-group type: P-3m1

5.
First-principles (PBE-GGA) data for an optimized crystal structure of La2GaCoGe, as listed in Alexandria.

Cell lengths 5.1922, 5.1922, 4.5895 Å; angles 90.00, 90.00, 90.00 degrees
Atoms (fractional coordinates):
La 0.0000 0.5000 0.0000
La 0.5000 0.0000 0.0000
Ge 0.5000 0.5000 0.5000
Ga 0.0000 0.0000 0.5000
Co 0.0000 0.0000 0.0000

Values from the calculation:
Total magnetic moment (μB per atom): 0.000
E_form (meV per atom): -462
Volume (Å³/cell): 123.73
Space-group type: P4/mmm

6.
First-principles (PBE-GGA) data for an optimized crystal structure of Hg2PSe, as listed in Alexandria.

Cell lengths 3.9763, 2.9019, 7.9716 Å; angles 89.64, 90.00, 90.00 degrees
Atoms (fractional coordinates):
P 0.5000 0.0000 0.5000
Se 0.5000 0.0000 0.0000
Hg 0.0000 0.9991 0.7368
Hg 0.0000 0.0009 0.2632

Values from the calculation:
Total magnetic moment (μB per atom): 0.000
E_form (uncorrected) (meV per atom): 249
Volume (Å³/cell): 91.98
Space-group type: P2/m

7.
First-principles (PBE-GGA) data for an optimized crystal structure of HoP2Se6, as listed in Alexandria.

Cell lengths 6.6233, 6.6233, 8.4147 Å; angles 66.82, 66.82, 60.00 degrees
Atoms (fractional coordinates):
Se 0.7371 0.4364 0.7569
Se 0.4364 0.0696 0.7569
Se 0.5701 0.9094 0.2441
Se 0.2765 0.5701 0.2441
Se 0.9094 0.2765 0.2441
Se 0.0696 0.7371 0.7569
P 0.6154 0.6154 0.1538
P 0.7176 0.7176 0.8472
Ho 0.3337 0.3337 0.9989

Values from the calculation:
Total magnetic moment (μB per atom): 0.057
E_form (uncorrected) (meV per atom): -483
Volume (Å³/cell): 284.77
Space-group type: R3

8.
First-principles (PBE-GGA) data for an optimized crystal structure of TbCe5Bi4, as listed in Alexandria.

Cell lengths 5.9795, 10.5082, 11.1609 Å; angles 90.00, 90.00, 90.00 degrees
Atoms (fractional coordinates):
Tb 0.4998 0.0000 0.0000
Tb 0.5002 0.5000 0.5000
Ce 0.2657 0.2499 0.7498
Ce 0.2657 0.7501 0.2502
Ce 0.2657 0.2499 0.2502
Ce 0.9998 0.5000 0.0000
Ce 0.7343 0.7499 0.2498
Ce 0.2657 0.7501 0.7498
Ce 0.0002 0.0000 0.5000
Ce 0.7343 0.2501 0.2498
Ce 0.7343 0.7499 0.7502
Ce 0.7343 0.2501 0.7502
Bi 0.5006 0.1782 0.5000
Bi 0.4994 0.3218 0.0000
Bi 0.4994 0.6782 0.0000
Bi 0.0000 0.0000 0.1657
Bi 0.0000 0.5000 0.6657
Bi 0.0000 0.0000 0.8343
Bi 0.5006 0.8218 0.5000
Bi 0.0000 0.5000 0.3343

Values from the calculation:
Total magnetic moment (μB per atom): 0.744
E_form (meV per atom): -315
Volume (Å³/cell): 701.29
Space-group type: Cmmm

9.
First-principles (PBE-GGA) data for an optimized crystal structure of Tb6PrY3, as listed in Alexandria.

Cell lengths 6.1879, 11.0702, 11.0702 Å; angles 119.56, 90.00, 90.00 degrees
Atoms (fractional coordinates):
Tb 0.8692 0.4629 0.0407
Tb 0.3692 0.5371 0.9593
Tb 0.1351 0.7179 0.2821
Tb 0.4212 0.9544 0.0456
Tb 0.0302 0.3815 0.2886
Tb 0.0302 0.7114 0.6185
Tb 0.3692 0.0407 0.4629
Tb 0.9212 0.0456 0.9544
Tb 0.5302 0.2886 0.3815
Tb 0.6351 0.2821 0.7179
Tb 0.8692 0.9593 0.5371
Tb 0.5302 0.6185 0.7114
Y 0.9615 0.0624 0.2810
Y 0.4615 0.9376 0.7190
Y 0.5685 0.6105 0.3895
Y 0.0685 0.3895 0.6105
Y 0.9615 0.7190 0.9376
Y 0.4615 0.2810 0.0624
Pr 0.1386 0.2055 0.7945
Pr 0.6386 0.7945 0.2055

Values from the calculation:
Total magnetic moment (μB per atom): 0.000
E_form (meV per atom): 143
Volume (Å³/cell): 659.59
Space-group type: Cmc2_1

10.
First-principles (PBE-GGA) data for an optimized crystal structure of NaAl2AsOs, as listed in Alexandria.

Cell lengths 5.0013, 4.5982, 5.0013 Å; angles 90.00, 90.00, 90.00 degrees
Atoms (fractional coordinates):
Os 0.0000 0.5000 0.0000
As 0.0000 0.0000 0.0000
Al 0.0000 0.0000 0.5000
Al 0.5000 0.0000 0.0000
Na 0.5000 0.5000 0.5000

Values from the calculation:
Total magnetic moment (μB per atom): 0.000
E_form (meV per atom): 857
Volume (Å³/cell): 115.02
Space-group type: P4/mmm

11.
First-principles (PBE-GGA) data for an optimized crystal structure of Pm7Sm3Er, as listed in Alexandria.

Cell lengths 10.2795, 10.2792, 12.5696 Å; angles 113.99, 66.01, 138.79 degrees
Atoms (fractional coordinates):
Pm 0.2727 0.2728 0.7501
Pm 0.8371 0.1595 0.7758
Pm 0.5792 0.9144 0.0296
Pm 0.0820 0.4180 0.0297
Pm 0.1595 0.8372 0.7242
Pm 0.4208 0.0856 0.9704
Pm 0.7273 0.7272 0.2500
Pm 0.8405 0.1628 0.2758
Pm 0.9180 0.5820 0.9703
Pm 0.9145 0.5792 0.4703
Pm 0.4180 0.0820 0.4703
Pm 0.1629 0.8405 0.2242
Pm 0.5820 0.9180 0.5297
Pm 0.0855 0.4208 0.5297
Er 0.5000 0.5000 0.0000
Er 0.5000 0.5000 0.5000
Sm 0.3311 0.6650 0.2749
Sm 0.6652 0.3311 0.2250
Sm 0.3348 0.6689 0.7750
Sm 0.0000 0.0000 0.5000
Sm 0.0000 0.0000 0.0000
Sm 0.6689 0.3350 0.7251

Values from the calculation:
Total magnetic moment (μB per atom): 0.000
E_form (meV per atom): 182
Volume (Å³/cell): 788.21
Space-group type: C2/c

12.
First-principles (PBE-GGA) data for an optimized crystal structure of Zr2Mn2Ir, as listed in Alexandria.

Cell lengths 6.3446, 6.3446, 4.0904 Å; angles 90.00, 90.00, 90.00 degrees
Atoms (fractional coordinates):
Mn 0.8892 0.6108 0.0000
Mn 0.3892 0.8892 0.0000
Mn 0.6108 0.1108 0.0000
Mn 0.1108 0.3892 0.0000
Zr 0.3158 0.1842 0.5000
Zr 0.1842 0.6842 0.5000
Zr 0.6842 0.8158 0.5000
Zr 0.8158 0.3158 0.5000
Ir 0.5000 0.5000 0.0000
Ir 0.0000 0.0000 0.0000

Values from the calculation:
Total magnetic moment (μB per atom): 0.000
E_form (meV per atom): -263
Volume (Å³/cell): 164.65
Space-group type: P4/mbm

13.
First-principles (PBE-GGA) data for an optimized crystal structure of Tb9Tm2Th, as listed in Alexandria.

Cell lengths 5.0246, 5.0246, 15.0570 Å; angles 90.00, 90.00, 90.00 degrees
Atoms (fractional coordinates):
Tb 0.5000 0.5000 0.3358
Tb 0.5000 0.5000 0.0000
Tb 0.5000 0.0000 0.1659
Tb 0.0000 0.5000 0.1659
Tb 0.5000 0.5000 0.6642
Tb 0.5000 0.0000 0.5000
Tb 0.0000 0.5000 0.5000
Tb 0.0000 0.5000 0.8341
Tb 0.5000 0.0000 0.8341
Tm 0.0000 0.0000 0.6662
Tm 0.0000 0.0000 0.3338
Th 0.0000 0.0000 0.0000

Values from the calculation:
Total magnetic moment (μB per atom): 0.000
E_form (meV per atom): 29
Volume (Å³/cell): 380.14
Space-group type: P4/mmm

14.
First-principles (PBE-GGA) data for an optimized crystal structure of ZrFe2W, as listed in Alexandria.

Cell lengths 4.3753, 4.3753, 4.3753 Å; angles 60.00, 60.00, 60.00 degrees
Atoms (fractional coordinates):
Fe 0.0000 0.0000 0.0000
Fe 0.7500 0.7500 0.7500
Zr 0.2500 0.2500 0.2500
W 0.5000 0.5000 0.5000

Values from the calculation:
Total magnetic moment (μB per atom): 0.646
E_form (meV per atom): 239
Volume (Å³/cell): 59.22
Space-group type: F-43m

15.
First-principles (PBE-GGA) data for an optimized crystal structure of ReHgS2N, as listed in Alexandria.

Cell lengths 4.8512, 4.8512, 3.7669 Å; angles 90.00, 90.00, 90.00 degrees
Atoms (fractional coordinates):
Hg 0.5000 0.5000 0.5000
S 0.0000 0.5000 0.0000
S 0.5000 0.0000 0.0000
N 0.0000 0.0000 0.5000
Re 0.0000 0.0000 0.0000

Values from the calculation:
Total magnetic moment (μB per atom): 0.000
E_form (uncorrected) (meV per atom): 284
Volume (Å³/cell): 88.65
Space-group type: P4/mmm

16.
First-principles (PBE-GGA) data for an optimized crystal structure of LiAgSnSb, as listed in Alexandria.

Cell lengths 5.0121, 5.0121, 5.0121 Å; angles 60.00, 60.00, 60.00 degrees
Atoms (fractional coordinates):
Sb 0.7500 0.7500 0.7500
Ag 0.5000 0.5000 0.5000
Sn 0.2500 0.2500 0.2500
Li 0.0000 0.0000 0.0000

Values from the calculation:
Total magnetic moment (μB per atom): 0.000
E_form (uncorrected) (meV per atom): -111
Volume (Å³/cell): 89.03
Space-group type: F-43m

Record-wise Fermi-level density of states values, in states/eV/f.u.: 3.0; 4.8; 1.3; 2.7; 2.6; 1.1; 10.4; 30.0; 14.3; 5.9; 17.6; 4.1; 19.0; 2.6; 2.5; 1.7